## Cr2CoTc (PBE)

Data for crystalline Cr2CoTc at its relaxed geometry.

Calculated values
Calculated formation energy ... 12.6 kJ per mole of atoms
SG ... P4mm

Geometry as POSCAR:
```
Cr2CoTc
1.0
-1.094 2.491 -1.027
0.040 -1.093 -2.695
-5.408 -2.064 0.757
Cr Co Tc
2 1 1
Direct
0.000 0.000 0.005
0.500 0.500 0.235
0.500 0.500 0.768
0.000 0.000 0.491
```

## Ga5Bi3Te12 (PBE)

Data for crystalline Ga5Bi3Te12 at its relaxed geometry.

Calculated values
ΔE_f (raw) ... -0.1339 eV per atom
SG ... Ia-3d

Geometry as POSCAR:
```
Ga5Bi3Te12
1.0
-15.047 -0.832 0.093
5.804 -13.874 0.969
4.650 8.222 11.743
Bi Te Ga
12 48 20
Direct
0.750 0.375 0.125
0.250 0.625 0.875
0.125 0.875 0.750
0.250 0.125 0.375
0.625 0.250 0.375
0.875 0.750 0.125
0.375 0.750 0.625
0.625 0.375 0.750
0.875 0.125 0.250
0.125 0.250 0.875
0.750 0.875 0.625
0.375 0.625 0.250
0.125 0.414 0.091
0.125 0.710 0.534
0.824 0.909 0.034
0.091 0.914 0.125
0.034 0.409 0.824
0.534 0.210 0.125
0.091 0.176 0.466
0.676 0.466 0.591
0.414 0.290 0.324
0.591 0.966 0.676
0.625 0.591 0.914
0.375 0.409 0.086
0.824 0.914 0.290
0.375 0.966 0.790
0.710 0.586 0.176
0.176 0.091 0.966
0.466 0.676 0.091
0.414 0.125 0.591
0.625 0.034 0.210
0.710 0.125 0.034
0.586 0.875 0.409
0.966 0.375 0.290
0.875 0.586 0.909
0.914 0.091 0.625
0.409 0.034 0.324
0.290 0.875 0.966
0.324 0.534 0.409
0.790 0.466 0.375
0.909 0.824 0.534
0.210 0.676 0.086
0.409 0.375 0.586
0.086 0.909 0.375
0.586 0.710 0.676
0.790 0.324 0.914
0.290 0.414 0.824
0.210 0.534 0.625
0.966 0.591 0.176
0.034 0.625 0.710
0.909 0.086 0.875
0.086 0.176 0.210
0.176 0.086 0.710
0.324 0.790 0.414
0.466 0.790 0.875
0.676 0.210 0.586
0.591 0.625 0.414
0.914 0.824 0.790
0.534 0.324 0.909
0.875 0.290 0.466
0.000 0.000 0.500
0.500 0.500 0.000
0.875 0.625 0.750
0.000 0.000 0.000
0.500 0.000 0.000
0.250 0.875 0.125
0.750 0.625 0.375
0.375 0.250 0.125
0.375 0.125 0.750
0.000 0.500 0.000
0.000 0.500 0.500
0.750 0.125 0.875
0.125 0.375 0.250
0.625 0.875 0.250
0.625 0.750 0.875
0.500 0.500 0.500
0.500 0.000 0.500
0.250 0.375 0.625
0.875 0.250 0.625
0.125 0.750 0.375
```

## K8BiSb2 (PBE)

Data for crystalline K8BiSb2 at its relaxed geometry.

Calculated values
ΔE_f (raw) ... -0.3612 eV per atom
Offset from the most stable computed form ... 5 meV/atom
SG ... Cm

Geometry as POSCAR:
```
K8BiSb2
1.0
-5.633 0.964 1.872
-2.750 -6.422 -4.976
5.512 -3.320 8.632
K Bi Sb
8 1 2
Direct
0.301 0.355 0.238
0.972 0.026 0.580
0.136 0.528 0.909
0.337 0.863 0.310
0.534 0.738 0.704
0.636 0.236 0.909
0.738 0.943 0.114
0.937 0.462 0.509
0.136 0.953 0.909
0.474 0.286 0.583
0.799 0.612 0.235
```

## Ba2ScMo (PBE)

Data for crystalline Ba2ScMo at its relaxed geometry.

Calculated values
Calculated formation energy ... 85.0 kJ per mole of atoms
Offset from the most stable computed form ... 343 meV/atom
SG ... I-42d

Geometry as POSCAR:
```
Ba2ScMo
1.0
12.238 0.000 0.000
0.000 12.238 0.000
6.119 6.119 2.456
Mo Ba Sc
2 4 2
Direct
0.000 0.000 0.000
0.750 0.250 0.500
0.819 0.125 0.250
0.931 0.625 0.250
0.375 0.181 0.750
0.875 0.069 0.750
0.250 0.750 0.500
0.500 0.500 0.000
```

## RbTePd (PBE)

Data for crystalline RbTePd at its relaxed geometry.

Calculated values
ΔE_f (raw) ... -0.6644 eV per atom
SG ... P2_1/c

Geometry as POSCAR:
```
RbTePd
1.0
7.990 0.000 0.000
0.000 7.069 3.186
0.000 1.998 8.162
Rb Te Pd
4 4 4
Direct
0.389 0.323 0.804
0.611 0.677 0.196
0.111 0.323 0.304
0.889 0.677 0.696
0.168 0.820 0.277
0.332 0.820 0.777
0.832 0.180 0.723
0.668 0.180 0.223
0.897 0.057 0.091
0.397 0.943 0.409
0.603 0.057 0.591
0.103 0.943 0.909
```

## BC3 (PBE)

Data for crystalline BC3 at its relaxed geometry.

Calculated values
Calculated formation energy ... 29.9 kJ per mole of atoms
Offset from the most stable computed form ... 69 meV/atom
SG ... Cm

Geometry as POSCAR:
```
BC3
1.0
3.980 -0.045 -1.968
3.157 2.424 -1.968
-0.083 -0.028 7.700
C B
9 3
Direct
0.162 0.162 0.711
0.987 0.987 0.514
0.346 0.346 0.149
0.837 0.837 0.035
0.822 0.822 0.556
0.502 0.502 0.864
0.667 0.667 0.832
0.326 0.326 0.672
0.190 0.190 0.212
0.462 0.462 0.386
0.689 0.689 0.321
0.009 0.009 0.998
```

## NdIn3Br7 (PBE)

Data for crystalline NdIn3Br7 at its relaxed geometry.

Calculated values
ΔE_f (raw) ... -1.0579 eV per atom
SG ... Cm

Geometry as POSCAR:
```
NdIn3Br7
1.0
-4.321 -5.543 -2.919
4.487 -5.347 3.031
-4.007 -2.367 6.010
Br Nd In
7 1 3
Direct
0.136 0.136 0.284
0.484 0.484 0.554
0.629 0.022 0.261
0.933 0.335 0.812
0.335 0.933 0.812
0.840 0.840 0.759
0.022 0.629 0.261
0.979 0.979 0.035
0.221 0.769 0.515
0.769 0.221 0.515
0.528 0.528 0.942
```

## TmScRu2 (PBE)

Data for crystalline TmScRu2 at its relaxed geometry.

Calculated values
Calculated formation energy ... -45.5 kJ per mole of atoms
SG ... Fm-3m

Geometry as POSCAR:
```
TmScRu2
1.0
-3.960 1.761 -1.658
-3.449 1.096 2.906
-1.061 4.451 0.767
Ru Tm Sc
2 1 1
Direct
0.000 0.000 0.000
0.500 0.500 0.500
0.250 0.250 0.250
0.750 0.750 0.750
```

Calculated total magnetic moment, 2.4, 0.0, 1.2, 0.0, 0.0, 0.0, 0.0, 0.0 μB per formula unit (same order as the records).